# Ga3CSe | Alexandria | PBE-GGA | optimized geometry
data_Ga3CSe
_chemical_formula_sum 'Ga3 C1 Se1'
_cell_length_a 5.150
_cell_length_b 5.150
_cell_length_c 5.150
_cell_angle_alpha 90.00
_cell_angle_beta 90.00
_cell_angle_gamma 90.00
_symmetry_space_group_name_H-M 'P 1'
_symmetry_Int_Tables_number 1
loop_
_symmetry_equiv_pos_as_xyz
'x,y,z'
loop_
_atom_site_label
_atom_site_fract_x
_atom_site_fract_y
_atom_site_fract_z
Ga1 0.000 0.000 0.500
Ga2 0.000 0.500 0.000
Ga3 0.500 0.000 0.000
C1 0.500 0.500 0.500
Se1 0.000 0.000 0.000
# Energy relative to the elements, uncorrected, eV per formula unit: 8.41
# Space-group type: Pm-3m
# ΔE to the lowest computed polymorph, eV per atom: 1.1844
# Calculated total energy, eV per cell: -13.377

***

# GaC2Se | Alexandria | PBE-GGA | optimized geometry
data_GaC2Se
_chemical_formula_sum 'Ga2 C4 Se2'
_cell_length_a 5.923
_cell_length_b 5.923
_cell_length_c 5.923
_cell_angle_alpha 133.12
_cell_angle_beta 133.12
_cell_angle_gamma 68.47
_symmetry_space_group_name_H-M 'P 1'
_symmetry_Int_Tables_number 1
loop_
_symmetry_equiv_pos_as_xyz
'x,y,z'
loop_
_atom_site_label
_atom_site_fract_x
_atom_site_fract_y
_atom_site_fract_z
Ga1 0.000 0.000 0.000
Ga2 0.750 0.250 0.500
C1 0.120 0.625 0.995
C2 0.375 0.370 0.495
C3 0.630 0.125 0.005
C4 0.875 0.880 0.505
Se1 0.250 0.750 0.500
Se2 0.500 0.500 0.000
# Energy relative to the elements, uncorrected, eV per formula unit: 5.06
# Space-group type: I-42d
# ΔE to the lowest computed polymorph, eV per atom: 0.0000
# Calculated total energy, eV per cell: -39.788

***

# GaCSe3 | Alexandria | PBE-GGA | optimized geometry
data_GaCSe3
_chemical_formula_sum 'Ga1 C1 Se3'
_cell_length_a 4.482
_cell_length_b 4.482
_cell_length_c 4.482
_cell_angle_alpha 90.00
_cell_angle_beta 90.00
_cell_angle_gamma 90.00
_symmetry_space_group_name_H-M 'P 1'
_symmetry_Int_Tables_number 1
loop_
_symmetry_equiv_pos_as_xyz
'x,y,z'
loop_
_atom_site_label
_atom_site_fract_x
_atom_site_fract_y
_atom_site_fract_z
Ga1 0.000 0.000 0.000
C1 0.500 0.500 0.500
Se1 0.000 0.500 0.500
Se2 0.500 0.000 0.500
Se3 0.500 0.500 0.000
# Energy relative to the elements, uncorrected, eV per formula unit: 4.60
# Space-group type: Pm-3m
# ΔE to the lowest computed polymorph, eV per atom: 0.0000
# Calculated total energy, eV per cell: -18.107

***

Please write out number 3 again, unchanged.
# GaCSe3 | Alexandria | PBE-GGA | optimized geometry
data_GaCSe3
_chemical_formula_sum 'Ga1 C1 Se3'
_cell_length_a 4.482
_cell_length_b 4.482
_cell_length_c 4.482
_cell_angle_alpha 90.00
_cell_angle_beta 90.00
_cell_angle_gamma 90.00
_symmetry_space_group_name_H-M 'P 1'
_symmetry_Int_Tables_number 1
loop_
_symmetry_equiv_pos_as_xyz
'x,y,z'
loop_
_atom_site_label
_atom_site_fract_x
_atom_site_fract_y
_atom_site_fract_z
Ga1 0.000 0.000 0.000
C1 0.500 0.500 0.500
Se1 0.000 0.500 0.500
Se2 0.500 0.000 0.500
Se3 0.500 0.500 0.000
# Energy relative to the elements, uncorrected, eV per formula unit: 4.60
# Space-group type: Pm-3m
# ΔE to the lowest computed polymorph, eV per atom: 0.0000
# Calculated total energy, eV per cell: -18.107